Compound: K2TbW3O12
Source: Alexandria
Functional: PBE with a Hubbard U
Structure: optimized geometry

Geometry as POSCAR:
```
K2TbW3O12
1.0
7.639 0.095 0.068
3.856 6.596 0.068
3.856 2.244 6.202
K Tb W O
2 1 3 12
direct
0.655 0.655 0.655
0.345 0.345 0.345
0.000 0.000 0.000
0.500 0.000 0.000
0.000 0.500 0.000
0.000 0.000 0.500
0.299 0.299 0.934
0.920 0.920 0.359
0.359 0.920 0.920
0.934 0.299 0.299
0.920 0.359 0.920
0.299 0.934 0.299
0.701 0.701 0.066
0.080 0.080 0.641
0.641 0.080 0.080
0.066 0.701 0.701
0.080 0.641 0.080
0.701 0.066 0.701
```

space group	No. 166
Fermi-level density of states	10.98	states/eV/f.u.
calculated volume	308	Å³/cell
raw total energy	-7.04	eV/atom